Record 1
# DyGa3Ir3 PBE optimized geometry
# - symmetry = Pm-3n, No. 223
# - ΔH_f (0 K) (eV per atom) = 0.072
data_DyGa3Ir3
_chemical_formula_sum 'Dy2 Ga6 Ir6'
_symmetry_space_group_name_H-M 'P 1'
_symmetry_Int_Tables_number 1
_symmetry_space_group_name_Hall 'P 1'
_cell_length_a 6.742
_cell_length_b 6.742
_cell_length_c 6.742
_cell_angle_alpha 90.00
_cell_angle_beta 90.00
_cell_angle_gamma 90.00
loop_
_atom_site_label
_atom_site_type_symbol
_atom_site_fract_x
_atom_site_fract_y
_atom_site_fract_z
_atom_site_occupancy
Ir1 Ir 0.250 0.000 0.500 1
Ir2 Ir 0.000 0.500 0.250 1
Ir3 Ir 0.500 0.750 0.000 1
Ir4 Ir 0.750 0.000 0.500 1
Ir5 Ir 0.000 0.500 0.750 1
Ir6 Ir 0.500 0.250 0.000 1
Ga1 Ga 0.000 0.250 0.500 1
Ga2 Ga 0.000 0.750 0.500 1
Ga3 Ga 0.500 0.000 0.750 1
Ga4 Ga 0.750 0.500 0.000 1
Ga5 Ga 0.500 0.000 0.250 1
Ga6 Ga 0.250 0.500 0.000 1
Dy1 Dy 0.500 0.500 0.500 1
Dy2 Dy 0.000 0.000 0.000 1

=====

Record 2
# AcTlZnCu PBE optimized geometry
# - symmetry = F-43m, No. 216
# - ΔH_f (0 K) (eV per atom) = -0.144
data_AcTlZnCu
_chemical_formula_sum 'Ac1 Tl1 Zn1 Cu1'
_symmetry_space_group_name_H-M 'P 1'
_symmetry_Int_Tables_number 1
_symmetry_space_group_name_Hall 'P 1'
_cell_length_a 5.141
_cell_length_b 5.141
_cell_length_c 5.141
_cell_angle_alpha 60.00
_cell_angle_beta 60.00
_cell_angle_gamma 60.00
loop_
_atom_site_label
_atom_site_type_symbol
_atom_site_fract_x
_atom_site_fract_y
_atom_site_fract_z
_atom_site_occupancy
Zn1 Zn 0.750 0.750 0.750 1
Ac1 Ac 0.000 0.000 0.000 1
Tl1 Tl 0.500 0.500 0.500 1
Cu1 Cu 0.250 0.250 0.250 1

=====

Record 3
# SrZnTe2I PBE optimized geometry
# - formation energy (no corrections) (eV/atom) = -0.590
# - offset from the most stable computed form (meV/atom) = 0
# - symmetry = P4/mmm, No. 123
data_SrZnTe2I
_chemical_formula_sum 'Sr1 Zn1 Te2 I1'
_symmetry_space_group_name_H-M 'P 1'
_symmetry_Int_Tables_number 1
_symmetry_space_group_name_Hall 'P 1'
_cell_length_a 5.337
_cell_length_b 5.337
_cell_length_c 5.979
_cell_angle_alpha 90.00
_cell_angle_beta 90.00
_cell_angle_gamma 90.00
loop_
_atom_site_label
_atom_site_type_symbol
_atom_site_fract_x
_atom_site_fract_y
_atom_site_fract_z
_atom_site_occupancy
I1 I 0.000 0.000 0.500 1
Sr1 Sr 0.500 0.500 0.500 1
Zn1 Zn 0.000 0.000 0.000 1
Te1 Te 0.000 0.500 0.000 1
Te2 Te 0.500 0.000 0.000 1

=====

Record 4
# GaIr2Au PBE optimized geometry
# - symmetry = I-42d, No. 122
# - ΔH_f (0 K) (eV per atom) = 0.389
data_GaIr2Au
_chemical_formula_sum 'Ga2 Ir4 Au2'
_symmetry_space_group_name_H-M 'P 1'
_symmetry_Int_Tables_number 1
_symmetry_space_group_name_Hall 'P 1'
_cell_length_a 3.802
_cell_length_b 3.802
_cell_length_c 9.781
_cell_angle_alpha 78.79
_cell_angle_beta 78.79
_cell_angle_gamma 90.00
loop_
_atom_site_label
_atom_site_type_symbol
_atom_site_fract_x
_atom_site_fract_y
_atom_site_fract_z
_atom_site_occupancy
Ir1 Ir 0.605 0.125 0.250 1
Ir2 Ir 0.145 0.625 0.250 1
Ir3 Ir 0.375 0.395 0.750 1
Ir4 Ir 0.875 0.855 0.750 1
Au1 Au 0.000 0.000 0.000 1
Au2 Au 0.750 0.250 0.500 1
Ga1 Ga 0.500 0.500 0.000 1
Ga2 Ga 0.250 0.750 0.500 1

=====

Record 5
# BiTeS2Cl PBE optimized geometry
# - formation energy (no corrections) (eV/atom) = 0.365
# - offset from the most stable computed form (meV/atom) = 58
# - symmetry = P4/mmm, No. 123
data_BiTeS2Cl
_chemical_formula_sum 'Bi1 Te1 S2 Cl1'
_symmetry_space_group_name_H-M 'P 1'
_symmetry_Int_Tables_number 1
_symmetry_space_group_name_Hall 'P 1'
_cell_length_a 5.365
_cell_length_b 5.365
_cell_length_c 5.171
_cell_angle_alpha 90.00
_cell_angle_beta 90.00
_cell_angle_gamma 90.00
loop_
_atom_site_label
_atom_site_type_symbol
_atom_site_fract_x
_atom_site_fract_y
_atom_site_fract_z
_atom_site_occupancy
S1 S 0.000 0.500 0.000 1
S2 S 0.500 0.000 0.000 1
Te1 Te 0.500 0.500 0.500 1
Bi1 Bi 0.000 0.000 0.000 1
Cl1 Cl 0.000 0.000 0.500 1

=====

Record 6
# NaErPb2 PBE optimized geometry
# - symmetry = P4/mmm, No. 123
# - ΔH_f (0 K) (eV per atom) = -0.289
data_NaErPb2
_chemical_formula_sum 'Na1 Er1 Pb2'
_symmetry_space_group_name_H-M 'P 1'
_symmetry_Int_Tables_number 1
_symmetry_space_group_name_Hall 'P 1'
_cell_length_a 4.470
_cell_length_b 4.938
_cell_length_c 4.938
_cell_angle_alpha 90.00
_cell_angle_beta 90.00
_cell_angle_gamma 90.00
loop_
_atom_site_label
_atom_site_type_symbol
_atom_site_fract_x
_atom_site_fract_y
_atom_site_fract_z
_atom_site_occupancy
Pb1 Pb 0.000 0.000 0.500 1
Pb2 Pb 0.000 0.500 0.000 1
Na1 Na 0.500 0.000 0.000 1
Er1 Er 0.500 0.500 0.500 1

=====

Values for E_tot, eV per atom, ordered as above
-5.681 -3.105 -2.748 -5.618 -3.060 -3.614